{"formula": "CsZrNpS4", "functional": "PBE", "state": "optimized geometry", "cell": [[-6.004, 1.934, 2.972], [-3.120, -5.773, -2.546], [6.794, -5.983, 5.240]], "species": ["S", "S", "S", "S", "S", "S", "S", "S", "Zr", "Zr", "Cs", "Cs", "Np", "Np"], "fractional_positions": [[0.479, 0.250, 0.420], [0.521, 0.750, 0.580], [0.943, 0.001, 0.313], [0.057, 0.999, 0.687], [0.943, 0.499, 0.313], [0.057, 0.501, 0.687], [0.380, 0.750, 0.188], [0.620, 0.250, 0.812], [0.207, 0.750, 0.338], [0.793, 0.250, 0.662], [0.401, 0.250, 0.075], [0.599, 0.750, 0.925], [0.205, 0.250, 0.544], [0.795, 0.750, 0.456]], "spacegroup": "P2_1/m (11)"}

---

{"formula": "CsNpSb2", "functional": "PBE", "state": "optimized geometry", "cell": [[-3.229, -1.206, -3.093], [-4.105, -1.592, 1.439], [-5.621, 7.338, -0.461]], "species": ["Np", "Sb", "Sb", "Cs"], "fractional_positions": [[0.667, 0.667, 0.998], [0.277, 0.277, 0.170], [0.058, 0.058, 0.827], [0.498, 0.498, 0.505]], "spacegroup": "R3m (160)", "de_polymorph_ev_per_atom": 0.014}

---

Number 1: energy -6.9131 eV/atom. Number 2: energy -5.6237 eV/atom.